{
  "formula": "Y2Ga3Pd2",
  "functional": "GGA-PBE",
  "state": "relaxed",
  "cell": [[4.395, 0.000, 0.000], [-2.197, 5.021, 0.009], [0.000, -2.657, 6.125]],
  "species": ["Y", "Y", "Ga", "Ga", "Ga", "Pd", "Pd"],
  "fractional_positions": [[0.847, 0.694, 0.227], [0.153, 0.306, 0.773], [0.500, 0.000, 0.000], [0.612, 0.223, 0.439], [0.388, 0.777, 0.561], [0.864, 0.729, 0.778], [0.136, 0.271, 0.222]],
  "final_energy_ev_per_cell": -37.906,
  "dos_ef_per_ev_cell": 4.543,
  "ef_ev_per_atom": -0.7874
}

=====

{
  "formula": "YGa2Pd7",
  "functional": "GGA-PBE",
  "state": "relaxed",
  "cell": [[-2.515, 1.799, -2.732], [-3.210, -2.022, 1.624], [1.323, 7.712, 6.975]],
  "species": ["Y", "Ga", "Ga", "Pd", "Pd", "Pd", "Pd", "Pd", "Pd", "Pd"],
  "fractional_positions": [[0.000, 0.000, 0.000], [0.676, 0.676, 0.352], [0.324, 0.324, 0.648], [0.103, 0.603, 0.206], [0.397, 0.897, 0.794], [0.603, 0.103, 0.206], [0.500, 0.500, 0.000], [0.750, 0.250, 0.500], [0.897, 0.397, 0.794], [0.250, 0.750, 0.500]],
  "final_energy_ev_per_cell": -55.428,
  "dos_ef_per_ev_cell": 2.497,
  "ef_ev_per_atom": -0.6560
}